# Y4ScSi10 | Alexandria via LeMat-Bulk | PBE-GGA | relaxed
# Magnetization ... 0.0 μB/f.u.
# Formation energy without anion corrections ... -11.31 kcal/mol of atoms
# D(E_F) ... 10.24 states/eV/cell
data_Y4ScSi10
_chemical_formula_sum 'Y4 Sc1 Si10'
_cell_length_a 4.0789
_cell_length_b 4.0789
_cell_length_c 19.5011
_cell_angle_alpha 90.00
_cell_angle_beta 90.00
_cell_angle_gamma 120.00
_space_group_name_H-M_alt 'P 6/m m m'
_space_group_IT_number 191
_space_group_name_Hall '-P 6 2'
loop_
_atom_site_label
_atom_site_type_symbol
_atom_site_fract_x
_atom_site_fract_y
_atom_site_fract_z
_atom_site_occupancy
Y1 Y 0.0000 0.0000 0.1017 1
Y2 Y 0.0000 0.0000 0.3078 1
Sc1 Sc 0.0000 0.0000 0.5000 1
Si1 Si 0.3333 0.6667 0.0000 1
Si2 Si 0.3333 0.6667 0.2048 1
Si3 Si 0.3333 0.6667 0.4093 1